# 1
DFT (PBE) results for a relaxed Rb6Mn2CrCl12 crystal.

abc: 5.092 5.092 24.676
angles: 84.08 84.08 90.00
Each line ends with the local moment (μB).
Fractional positions:
Cl 0.000 0.500 0.000  -0.01
Cl 0.718 0.718 0.564  0.04
Cl 0.950 0.950 0.101  -0.01
Rb 0.546 0.546 0.908  0.00
Cl 0.282 0.282 0.436  0.04
Cl 0.614 0.614 0.771  0.04
Cr 0.000 0.000 0.000  3.65
Mn 0.334 0.334 0.333  4.45
Cl 0.334 0.834 0.332  0.06
Rb 0.454 0.454 0.092  0.00
Cl 0.834 0.334 0.332  0.06
Cl 0.666 0.166 0.668  0.06
Rb 0.786 0.786 0.428  0.00
Rb 0.214 0.214 0.572  0.00
Rb 0.881 0.881 0.237  0.00
Cl 0.500 0.000 0.000  -0.01
Cl 0.050 0.050 0.899  -0.01
Cl 0.166 0.666 0.668  0.06
Mn 0.666 0.666 0.667  4.45
Rb 0.119 0.119 0.763  0.00
Cl 0.386 0.386 0.229  0.04

Values from the calculation:
Formation energy (no corrections), eV/atom: -1.59
Volume, Å³/atom: 30.14
Symmetry: No. 139

# 2
DFT (PBE) results for a relaxed Rb3Mn2CrCl9 crystal.

abc: 7.164 7.164 8.778
angles: 90.00 90.00 120.00
Each line ends with the local moment (μB).
Fractional positions:
Cl 0.000 0.500 0.000  0.06
Cl 0.167 0.333 0.334  0.03
Cl 0.333 0.167 0.666  0.03
Cl 0.667 0.833 0.334  0.03
Rb 0.333 0.667 0.667  0.00
Cl 0.500 0.000 0.000  0.06
Cl 0.833 0.167 0.666  0.03
Rb 0.000 0.000 0.000  0.00
Mn 0.667 0.333 0.831  4.42
Mn 0.333 0.667 0.169  4.42
Cr 0.000 0.000 0.500  3.73
Cl 0.833 0.667 0.666  0.03
Cl 0.500 0.500 0.000  0.06
Cl 0.167 0.833 0.334  0.03
Rb 0.667 0.333 0.333  0.00

Values from the calculation:
Formation energy (no corrections), eV/atom: -1.42
Volume, Å³/atom: 26.01
Symmetry: No. 164

# 3
DFT (PBE) results for a relaxed ScMnCr2Cl crystal.

abc: 4.467 4.764 4.467
angles: 90.00 90.00 90.00
Each line ends with the local moment (μB).
Fractional positions:
Cr 0.000 0.000 0.500  2.77
Cr 0.500 0.000 0.000  3.24
Sc 0.500 0.500 0.500  -0.09
Mn 0.000 0.000 0.000  -2.04
Cl 0.000 0.500 0.000  0.06

Values from the calculation:
Formation energy (no corrections), eV/atom: 0.75
Volume, Å³/atom: 19.01
Symmetry: No. 123

# 4
DFT (PBE) results for a relaxed MnCrSnCl6 crystal.

abc: 6.499 6.499 12.472
angles: 90.00 90.00 120.00
Each line ends with the local moment (μB).
Fractional positions:
Cl 0.357 0.362 0.863  0.03
Cr 0.333 0.667 0.750  3.58
Cl 0.995 0.638 0.363  0.03
Cl 0.638 0.995 0.863  0.03
Cl 0.362 0.357 0.363  0.03
Cl 0.643 0.005 0.363  0.03
Mn 0.333 0.667 0.250  4.42
Cl 0.357 0.995 0.637  0.03
Cl 0.005 0.643 0.863  0.03
Sn 0.000 0.000 0.000  0.07
Cr 0.667 0.333 0.250  3.58
Cl 0.362 0.005 0.137  0.03
Cl 0.643 0.638 0.137  0.03
Sn 0.000 0.000 0.500  0.07
Cl 0.005 0.362 0.637  0.03
Mn 0.667 0.333 0.750  4.42
Cl 0.995 0.357 0.137  0.03
Cl 0.638 0.643 0.637  0.03

Values from the calculation:
Formation energy (no corrections), eV/atom: -0.98
Volume, Å³/atom: 25.35
Symmetry: No. 163

# 5
DFT (PBE) results for a relaxed MnTl2CrCl6 crystal.

abc: 7.097 7.097 12.642
angles: 73.70 73.70 60.00
Each line ends with the local moment (μB).
Fractional positions:
Tl 0.121 0.121 0.636  0.01
Cl 0.207 0.207 0.879  0.03
Cl 0.708 0.207 0.879  0.03
Cl 0.617 0.134 0.631  0.04
Mn 0.000 0.000 0.000  4.40
Cl 0.793 0.793 0.121  0.03
Cl 0.134 0.617 0.631  0.04
Tl 0.290 0.290 0.129  0.01
Cl 0.383 0.383 0.369  0.04
Mn 0.500 0.500 0.500  4.40
Cr 0.413 0.413 0.760  3.66
Cl 0.383 0.866 0.369  0.04
Cr 0.587 0.587 0.240  3.66
Tl 0.879 0.879 0.364  0.01
Tl 0.710 0.710 0.871  0.01
Cl 0.866 0.383 0.369  0.04
Cl 0.207 0.708 0.879  0.03
Cl 0.793 0.292 0.121  0.03
Cl 0.292 0.793 0.121  0.03
Cl 0.617 0.617 0.631  0.04

Values from the calculation:
Formation energy (no corrections), eV/atom: -1.00
Volume, Å³/atom: 26.08
Symmetry: No. 166

# 6
DFT (PBE) results for a relaxed Mn2Tl3CrCl9 crystal.

abc: 7.115 7.115 8.720
angles: 90.00 90.00 120.00
Each line ends with the local moment (μB).
Fractional positions:
Cl 0.000 0.500 0.000  0.06
Cl 0.500 0.500 0.000  0.06
Mn 0.333 0.667 0.169  4.42
Cl 0.500 0.000 0.000  0.06
Cl 0.833 0.666 0.665  0.03
Tl 0.667 0.333 0.336  0.00
Cr 0.000 0.000 0.500  3.73
Cl 0.167 0.833 0.335  0.03
Cl 0.833 0.167 0.665  0.03
Cl 0.334 0.167 0.665  0.03
Tl 0.000 0.000 0.000  0.00
Mn 0.667 0.333 0.831  4.42
Cl 0.167 0.334 0.335  0.03
Tl 0.333 0.667 0.664  0.00
Cl 0.666 0.833 0.335  0.03

Values from the calculation:
Formation energy (no corrections), eV/atom: -1.01
Volume, Å³/atom: 25.49
Symmetry: No. 164

# 7
DFT (PBE) results for a relaxed Mn2TlCrCl8 crystal.

abc: 6.272 6.274 8.722
angles: 76.63 76.73 74.56
Each line ends with the local moment (μB).
Fractional positions:
Cl 0.258 0.812 0.798  0.02
Cl 0.756 0.758 0.029  0.03
Mn 0.559 0.559 0.271  4.36
Cl 0.813 0.260 0.797  0.02
Tl 0.000 0.000 0.500  0.01
Cl 0.187 0.740 0.203  0.02
Cl 0.742 0.188 0.202  0.02
Cl 0.244 0.242 0.971  0.03
Mn 0.441 0.441 0.729  4.36
Cl 0.663 0.667 0.485  0.07
Cr 0.000 0.000 0.000  3.02
Cl 0.337 0.333 0.515  0.07

Values from the calculation:
Formation energy (no corrections), eV/atom: -1.02
Volume, Å³/atom: 26.39
Symmetry: No. 2

# 8
DFT (PBE) results for a relaxed MnCrW2Cl crystal.

abc: 4.577 4.230 4.577
angles: 90.00 90.00 90.00
Fractional positions:
W 0.000 0.000 0.500
W 0.500 0.000 0.000
Mn 0.000 0.000 0.000
Cr 0.000 0.500 0.000
Cl 0.500 0.500 0.500

Values from the calculation:
Formation energy (no corrections), eV/atom: 1.71
Volume, Å³/atom: 17.72
Symmetry: No. 123